(1)
# Ac3Sm4Ho2 (PBE, relaxed)
data_Ac3Sm4Ho2
_cell_length_a 6.477
_cell_length_b 6.484
_cell_length_c 9.307
_cell_angle_alpha 97.08
_cell_angle_beta 96.24
_cell_angle_gamma 119.73
_space_group_name_H-M_alt 'P -1'
_space_group_IT_number 2
_space_group_name_Hall '-P 1'
loop_
_atom_site_label
_atom_site_fract_x
_atom_site_fract_y
_atom_site_fract_z
Ac1 0.000 0.000 0.000
Ac2 0.453 0.119 0.334
Sm1 0.110 0.447 0.332
Sm2 0.333 0.658 0.003
Ho1 0.216 0.221 0.665
# V, Å³/atom: 36.7
# Total DFT energy (no corrections), eV per atom: -4.4400
# N(E_F), states/eV per atom: 1.449

(2)
# Ac4SmHo2 (PBE, relaxed)
data_Ac4SmHo2
_cell_length_a 6.730
_cell_length_b 12.868
_cell_length_c 13.184
_cell_angle_alpha 90.00
_cell_angle_beta 104.76
_cell_angle_gamma 90.00
_space_group_name_H-M_alt 'C 1 c 1'
_space_group_IT_number 9
_space_group_name_Hall 'C -2yc'
loop_
_atom_site_label
_atom_site_fract_x
_atom_site_fract_y
_atom_site_fract_z
Ac1 0.000 0.061 0.000
Ac2 0.209 0.311 0.918
Ac3 0.304 0.175 0.570
Ac4 0.445 0.075 0.849
Sm1 0.373 0.376 0.209
Ho1 0.050 0.399 0.644
Ho2 0.116 0.149 0.275
# V, Å³/atom: 39.4
# Total DFT energy (no corrections), eV per atom: -4.2102
# N(E_F), states/eV per atom: 1.765

(3)
# Ac6Sm5Ho2 (PBE, relaxed)
data_Ac6Sm5Ho2
_cell_length_a 11.338
_cell_length_b 23.960
_cell_length_c 3.750
_cell_angle_alpha 90.00
_cell_angle_beta 90.00
_cell_angle_gamma 90.00
_space_group_name_H-M_alt 'P b a m'
_space_group_IT_number 55
_space_group_name_Hall '-P 2 2ab'
loop_
_atom_site_label
_atom_site_fract_x
_atom_site_fract_y
_atom_site_fract_z
Ac1 0.019 0.113 0.000
Ac2 0.148 0.386 0.000
Ac3 0.166 0.634 0.500
Sm1 0.000 0.500 0.500
Sm2 0.085 0.250 0.500
Sm3 0.165 0.997 0.500
Ho1 0.165 0.766 0.000
# V, Å³/atom: 39.2
# Total DFT energy (no corrections), eV per atom: -4.2557
# N(E_F), states/eV per atom: 1.592

(4)
# Ac3Sm6Ho (PBE, relaxed)
data_Ac3Sm6Ho
_cell_length_a 10.1457
_cell_length_b 10.1457
_cell_length_c 12.8742
_cell_angle_alpha 90.00
_cell_angle_beta 90.00
_cell_angle_gamma 120.00
_space_group_name_H-M_alt 'R -3'
_space_group_IT_number 148
_space_group_name_Hall '-R 3'
loop_
_atom_site_label
_atom_site_fract_x
_atom_site_fract_y
_atom_site_fract_z
Ac1 0.0000 0.0000 0.0000
Ac2 0.0000 0.0000 0.2578
Sm1 0.9998 0.3256 0.4230
Ho1 0.0000 0.0000 0.5000
# V, Å³/atom: 38.3
# Total DFT energy (no corrections), eV per atom: -4.1496
# N(E_F), states/eV per atom: 2.489